Cs5Hg2F (PBE, optimized geometry); E_form (uncorrected) = -0.75 eV per atom; DOS(E_F) = 5.21 states/eV/f.u.; ρ = 3.71 g cm⁻³; symmetry = Cmcm
1.0
5.814 0.000 0.000
-2.907 8.872 0.000
0.000 0.000 18.819
Cs Hg F
10 4 2
direct
0.119 0.237 0.378
0.881 0.763 0.878
0.253 0.506 0.750
0.622 0.244 0.624
0.622 0.244 0.876
0.881 0.763 0.622
0.378 0.756 0.124
0.378 0.756 0.376
0.747 0.494 0.250
0.119 0.237 0.122
0.750 0.499 0.040
0.250 0.501 0.540
0.750 0.499 0.460
0.250 0.501 0.960
0.249 0.498 0.250
0.751 0.502 0.750

---

Ho4Er3Al4 (PBE, optimized geometry); DOS(E_F) = 10.46 states/eV/f.u.; ΔH_f (0 K) = -0.174 eV/atom; ρ = 7.32 g cm⁻³; symmetry = Immm
1.0
5.104 0.000 0.000
0.000 6.656 0.000
-2.552 -3.328 8.474
Ho Al Er
4 4 3
direct
0.680 0.443 0.360
0.320 0.557 0.640
0.680 0.917 0.360
0.320 0.083 0.640
0.172 0.672 0.344
0.500 0.794 0.000
0.500 0.206 0.000
0.828 0.328 0.656
0.099 0.099 0.197
0.000 0.500 0.000
0.901 0.901 0.803

---

CaFeHg2Ru (PBE, optimized geometry); DOS(E_F) = 5.37 states/eV/f.u.; ΔH_f (0 K) = 0.413 eV/atom; ρ = 7.84 g cm⁻³; symmetry = P4/mmm
1.0
-1.126 4.582 2.279
-3.860 0.301 -2.512
-2.643 -2.519 3.759
Ca Fe Hg Ru
1 1 2 1
direct
0.500 0.500 0.500
0.000 0.500 0.000
0.000 0.000 0.500
0.500 0.000 0.000
0.000 0.000 0.000

---

Ba2MgRe (PBE, optimized geometry); DOS(E_F) = 4.12 states/eV/f.u.; ΔH_f (0 K) = 0.783 eV/atom; ρ = 6.13 g cm⁻³; symmetry = Imm2
1.0
-6.886 0.082 -1.940
-5.125 -0.905 -4.910
-2.588 -5.220 0.201
Re Ba Mg
1 2 1
direct
0.768 0.768 0.732
0.053 0.053 0.947
0.245 0.245 0.255
0.434 0.434 0.566

---

Ti6SiTc5 (PBE, optimized geometry); E_form (uncorrected) = -0.56 eV per atom; DOS(E_F) = 8.93 states/eV/f.u.; ρ = 7.49 g cm⁻³; symmetry = Immm
1.0
0.239 4.085 -1.460
-3.853 -1.460 -4.715
-3.356 0.317 6.803
Tc Ti Si
5 6 1
direct
0.660 0.160 0.319
0.331 0.331 0.663
0.000 0.500 0.000
0.669 0.669 0.337
0.340 0.840 0.681
0.500 0.260 0.000
0.500 0.740 0.000
0.169 0.423 0.339
0.169 0.915 0.339
0.831 0.085 0.661
0.831 0.577 0.661
0.000 0.000 0.000

---

UI3Br3 (PBE, optimized geometry); E_form (uncorrected) = -0.74 eV per atom; DOS(E_F) = 4.68 states/eV/f.u.; ρ = 4.33 g cm⁻³; symmetry = R3m
1.0
-6.111 -1.861 -3.889
1.949 -5.770 4.340
-1.603 5.864 4.356
Br I U
3 3 1
direct
0.557 0.557 0.851
0.851 0.557 0.557
0.557 0.851 0.557
0.015 0.331 0.015
0.015 0.015 0.331
0.331 0.015 0.015
0.873 0.873 0.873

---

K3Tb3PuTe8 (PBE, optimized geometry); E_form (uncorrected) = -1.27 eV per atom; DOS(E_F) = 14.04 states/eV/f.u.; ρ = 5.33 g cm⁻³; symmetry = R-3m
1.0
8.933 0.000 0.000
-4.466 7.735 -0.033
0.000 -5.121 8.398
Te K Tb Pu
8 3 3 1
direct
0.765 0.029 0.294
0.235 0.971 0.706
0.736 0.971 0.706
0.263 0.527 0.291
0.765 0.530 0.294
0.737 0.473 0.709
0.264 0.029 0.294
0.235 0.470 0.706
0.500 0.500 0.000
0.000 0.000 0.000
0.000 0.500 0.000
0.500 0.000 0.500
0.000 0.500 0.500
0.500 0.500 0.500
0.000 0.000 0.500

---

Ti3NbAg (PBE, optimized geometry); DOS(E_F) = 4.76 states/eV/f.u.; ΔH_f (0 K) = 0.068 eV/atom; ρ = 6.51 g cm⁻³; E above lowest polymorph = 0.000 eV/atom; symmetry = P2_1/m
1.0
2.810 0.000 0.000
0.000 8.868 -1.604
0.000 -0.880 7.207
Ti Nb Ag
6 2 2
direct
0.250 0.945 0.308
0.250 0.361 0.905
0.750 0.541 0.696
0.750 0.055 0.692
0.750 0.639 0.095
0.250 0.459 0.304
0.250 0.251 0.515
0.750 0.749 0.485
0.750 0.154 0.112
0.250 0.846 0.888